[1]
Entry from Alexandria: crystalline MgSc6Al2 at its relaxed geometry (PBE).

Lattice parameters (Å, degrees): 4.543 9.315 9.315 90.00 90.00 90.00
Each line ends with the local moment (μB).
Atoms (fractional coordinates):
Mg 0.000 0.000 0.500  0.01
Mg 0.500 0.500 0.000  0.01
Sc 0.500 0.827 0.003  0.14
Sc 0.500 0.504 0.327  0.14
Sc 0.000 0.673 0.503  0.14
Sc 0.500 0.173 0.997  0.14
Sc 0.000 0.327 0.497  0.14
Sc 0.000 0.650 0.850  0.14
Sc 0.000 0.350 0.150  0.14
Sc 0.000 0.004 0.173  0.14
Sc 0.500 0.850 0.350  0.14
Sc 0.500 0.150 0.650  0.14
Sc 0.000 0.996 0.827  0.14
Sc 0.500 0.496 0.673  0.14
Al 0.500 0.179 0.321  0.00
Al 0.000 0.679 0.179  0.00
Al 0.000 0.321 0.821  0.00
Al 0.500 0.821 0.679  0.00

Output
- Energy relative to the elements: -0.18 eV/atom
- Total DFT energy (no corrections): -97.33 eV for the cell shown
- SG: P4_2/mnm

---

[2]
Entry from Alexandria: crystalline Pr8Sn2Hg3 at its relaxed geometry (PBE).

Lattice parameters (Å, degrees): 5.689 9.225 9.397 119.40 90.00 90.00
Each line ends with the local moment (μB).
Atoms (fractional coordinates):
Hg 0.000 0.681 0.000  0.00
Hg 0.500 0.000 0.000  0.01
Hg 0.000 0.319 0.000  0.00
Pr 0.500 0.835 0.234  0.07
Pr 0.000 0.678 0.355  0.11
Pr 0.000 0.106 0.213  0.25
Pr 0.500 0.399 0.234  0.07
Pr 0.500 0.165 0.766  0.07
Pr 0.000 0.894 0.787  0.25
Pr 0.500 0.601 0.766  0.07
Pr 0.000 0.322 0.645  0.11
Sn 0.500 0.772 0.544  -0.01
Sn 0.500 0.228 0.456  -0.01

Output
- Energy relative to the elements: -0.31 eV/atom
- Total DFT energy (no corrections): -51.20 eV for the cell shown
- SG: Cmmm

---

[3]
Entry from Alexandria: crystalline Tc2Mo at its relaxed geometry (PBE).

Lattice parameters (Å, degrees): 5.040 5.040 5.040 103.85 103.85 121.42
Atoms (fractional coordinates):
Tc 0.359 0.141 0.500
Tc 0.641 0.859 0.500
Tc 0.141 0.641 0.782
Tc 0.859 0.359 0.218
Mo 0.750 0.750 0.000
Mo 0.250 0.250 0.000

Output
- Energy relative to the elements: 0.39 eV/atom
- Total DFT energy (no corrections): -60.78 eV for the cell shown
- Polymorph energy (0 for the lowest one): 282 meV/atom
- SG: I4/mcm

---

[4]
Entry from Alexandria: crystalline Sb2PbCl at its relaxed geometry (PBE).

Lattice parameters (Å, degrees): 6.212 6.212 6.212 140.62 120.76 73.47
Atoms (fractional coordinates):
Sb 0.754 0.254 0.500
Sb 0.948 0.948 0.000
Pb 0.300 0.800 0.500
Cl 0.499 0.499 0.000

Output
- Formation energy (no corrections): -0.156 eV/atom
- Total DFT energy (no corrections): -14.43 eV for the cell shown
- Polymorph energy (0 for the lowest one): 87 meV/atom
- SG: Imm2

---

[5]
Entry from Alexandria: crystalline MgSc4Ga5 at its relaxed geometry (PBE).

Lattice parameters (Å, degrees): 3.348 3.348 16.918 90.00 90.00 90.00
Atoms (fractional coordinates):
Sc 0.000 0.000 0.804
Sc 0.000 0.000 0.600
Sc 0.000 0.000 0.400
Sc 0.000 0.000 0.196
Ga 0.500 0.500 0.500
Ga 0.500 0.500 0.700
Ga 0.500 0.500 0.904
Ga 0.500 0.500 0.300
Ga 0.500 0.500 0.096
Mg 0.000 0.000 0.000

Output
- Energy relative to the elements: -0.49 eV/atom
- Total DFT energy (no corrections): -46.96 eV for the cell shown
- SG: P4/mmm

---

[6]
Entry from Alexandria: crystalline Mg4Os3 at its relaxed geometry (PBE).

Lattice parameters (Å, degrees): 5.191 5.191 5.209 90.00 90.00 120.00
Atoms (fractional coordinates):
Os 0.000 0.500 0.000
Os 0.500 0.500 0.000
Os 0.500 0.000 0.000
Mg 0.333 0.667 0.500
Mg 0.000 0.000 0.756
Mg 0.000 0.000 0.244
Mg 0.667 0.333 0.500

Output
- Energy relative to the elements: 0.18 eV/atom
- Total DFT energy (no corrections): -38.78 eV for the cell shown
- Polymorph energy (0 for the lowest one): 34 meV/atom
- SG: P6/mmm

---

[7]
Entry from Alexandria: crystalline TiV3Co at its relaxed geometry (PBE).

Lattice parameters (Å, degrees): 2.969 8.705 10.699 102.71 83.58 98.26
Atoms (fractional coordinates):
Ti 0.303 0.136 0.029
Ti 0.297 0.635 0.523
Ti 0.703 0.365 0.477
Ti 0.697 0.864 0.971
Co 0.502 0.144 0.641
Co 0.906 0.382 0.072
Co 0.498 0.856 0.359
Co 0.094 0.618 0.928
V 0.104 0.875 0.179
V 0.703 0.122 0.234
V 0.896 0.125 0.821
V 0.698 0.631 0.730
V 0.297 0.878 0.766
V 0.898 0.618 0.315
V 0.502 0.620 0.122
V 0.498 0.380 0.878
V 0.880 0.895 0.573
V 0.120 0.105 0.427
V 0.302 0.369 0.270
V 0.102 0.382 0.685

Output
- Energy relative to the elements: -0.05 eV/atom
- Total DFT energy (no corrections): -170.39 eV for the cell shown
- Polymorph energy (0 for the lowest one): 0 meV/atom
- SG: P-1

---

[8]
Entry from Alexandria: crystalline LiPuPdPt at its relaxed geometry (PBE).

Lattice parameters (Å, degrees): 4.717 4.717 4.717 60.00 60.00 60.00
Each line ends with the local moment (μB).
Atoms (fractional coordinates):
Pu 0.500 0.500 0.500  5.00
Pt 0.250 0.250 0.250  -0.10
Pd 0.750 0.750 0.750  -0.07
Li 0.000 0.000 0.000  0.01

Output
- Energy relative to the elements: -0.53 eV/atom
- Total DFT energy (no corrections): -29.60 eV for the cell shown
- SG: F-43m

---

[9]
Entry from Alexandria: crystalline BaCa2Ga2 at its relaxed geometry (PBE).

Lattice parameters (Å, degrees): 9.152 9.152 3.541 90.00 90.00 90.00
Atoms (fractional coordinates):
Ba 0.500 0.500 0.000
Ba 0.000 0.000 0.000
Ca 0.629 0.129 0.000
Ca 0.871 0.629 0.000
Ca 0.371 0.871 0.000
Ca 0.129 0.371 0.000
Ga 0.168 0.668 0.500
Ga 0.332 0.168 0.500
Ga 0.668 0.832 0.500
Ga 0.832 0.332 0.500

Output
- Energy relative to the elements: -0.30 eV/atom
- Total DFT energy (no corrections): -26.94 eV for the cell shown
- Polymorph energy (0 for the lowest one): 17 meV/atom
- SG: P4/mbm

---

[10]
Entry from Alexandria: crystalline Sr2LiBe at its relaxed geometry (PBE).

Lattice parameters (Å, degrees): 8.307 8.307 8.307 31.47 31.47 31.47
Atoms (fractional coordinates):
Be 0.458 0.458 0.458
Sr 0.037 0.037 0.037
Sr 0.213 0.213 0.213
Li 0.792 0.792 0.792

Output
- Energy relative to the elements: 0.27 eV/atom
- Total DFT energy (no corrections): -7.94 eV for the cell shown
- SG: R3m

---

[11]
Entry from Alexandria: crystalline Tm2AsP at its relaxed geometry (PBE).

Lattice parameters (Å, degrees): 3.972 3.972 7.162 73.90 73.90 60.00
Atoms (fractional coordinates):
Tm 0.079 0.079 0.764
Tm 0.254 0.254 0.237
P 0.668 0.668 0.996
As 0.499 0.499 0.503

Output
- Energy relative to the elements: -1.41 eV/atom
- Total DFT energy (no corrections): -24.63 eV for the cell shown
- SG: R3m

---

[12]
Entry from Alexandria: crystalline CdPH2Se at its relaxed geometry (PBE).

Lattice parameters (Å, degrees): 3.623 6.446 3.623 90.00 90.00 90.00
Atoms (fractional coordinates):
H 0.500 0.000 0.000
H 0.000 0.000 0.500
Se 0.000 0.500 0.000
P 0.500 0.500 0.500
Cd 0.000 0.000 0.000

Output
- Total DFT energy (no corrections): -14.58 eV for the cell shown
- SG: P4/mmm